Mn2AgCl, relaxed, DFT PBE-GGA; formation energy from raw total energies = 0.94 eV/f.u.
1.0
-0.331 1.929 -2.310
0.867 -2.805 -0.737
-8.105 -2.304 -0.763
Mn Ag Cl
2 1 1
Direct
0.000 0.000 0.989
0.000 0.000 0.511
0.500 0.500 0.250
0.500 0.500 0.750


YOsAu2, relaxed, DFT PBE-GGA; calculated formation energy = -0.053 eV per atom
1.0
5.215 0.036 0.000
1.810 4.891 0.000
-3.512 -2.463 2.965
Au Os Y
2 1 1
Direct
0.000 0.000 0.000
0.500 0.500 0.000
0.250 0.750 0.500
0.750 0.250 0.500


Dy2Tl3Zn, relaxed, DFT PBE-GGA; calculated formation energy = -0.194 eV per atom
1.0
3.607 0.000 0.000
0.000 4.828 0.000
0.000 0.000 8.752
Dy Tl Zn
2 3 1
Direct
0.000 0.500 0.011
0.000 0.000 0.493
0.500 0.000 0.840
0.500 0.000 0.185
0.500 0.500 0.643
0.500 0.500 0.327


BaTe4Pb3, relaxed, DFT PBE-GGA; formation energy from raw total energies = -5.83 eV/f.u.
1.0
4.725 -0.059 0.080
0.057 7.882 2.293
-0.136 0.449 8.196
Pb Te Ba
3 4 1
Direct
0.500 0.000 0.500
0.000 0.000 0.000
0.000 0.500 0.500
0.000 0.763 0.737
0.500 0.757 0.257
0.000 0.238 0.262
0.500 0.243 0.743
0.500 0.500 0.000


Number 1: uncorrected energy -5.525 eV per atom. Number 2: uncorrected energy -6.116 eV per atom. Number 3: uncorrected energy -3.124 eV per atom. Number 4: uncorrected energy -3.931 eV per atom.